No. 1
Li4AcAgPb2 after structural relaxation. Source: the Alexandria database, functional PBE.

Cell lengths 4.833, 4.833, 9.527 Å; angles 75.31, 75.31, 60.00 degrees
Positions (direct):
Ag 0.500 0.500 0.500
Li 0.863 0.863 0.410
Li 0.137 0.137 0.590
Li 0.409 0.409 0.774
Li 0.591 0.591 0.226
Ac 0.000 0.000 0.000
Pb 0.748 0.748 0.755
Pb 0.252 0.252 0.245

Properties
- uncorrected energy (eV per atom) = -3.0518
- density (g/cm³) = 7.002

No. 2
LiAc2Ag3Pb4 after structural relaxation. Source: the Alexandria database, functional PBE.

Cell lengths 4.782, 4.782, 12.112 Å; angles 90.00, 90.00, 90.00 degrees
Positions (direct):
Pb 0.500 0.000 0.627
Pb 0.000 0.500 0.373
Pb 0.500 0.500 0.000
Pb 0.000 0.000 0.000
Ag 0.500 0.000 0.856
Ag 0.000 0.500 0.144
Ag 0.000 0.000 0.500
Ac 0.500 0.000 0.261
Ac 0.000 0.500 0.739
Li 0.500 0.500 0.500

Properties
- uncorrected energy (eV per atom) = -3.6553
- density (g/cm³) = 9.674

No. 3
Li2Ac3Ag2Pb4 after structural relaxation. Source: the Alexandria database, functional PBE.

Cell lengths 4.962, 4.962, 15.955 Å; angles 90.00, 90.00, 120.00 degrees
Positions (direct):
Ag 0.667 0.333 0.842
Ag 0.333 0.667 0.158
Ac 0.000 0.000 0.000
Ac 0.000 0.000 0.729
Ac 0.000 0.000 0.271
Pb 0.333 0.667 0.875
Pb 0.333 0.667 0.384
Pb 0.667 0.333 0.616
Pb 0.667 0.333 0.125
Li 0.667 0.333 0.440
Li 0.333 0.667 0.560

Properties
- uncorrected energy (eV per atom) = -3.6539
- density (g/cm³) = 8.492

No. 4
Li2Ac3AgPd9 after structural relaxation. Source: the Alexandria database, functional PBE.

Cell lengths 6.937, 6.937, 7.358 Å; angles 90.00, 90.00, 120.00 degrees
Positions (direct):
Pd 0.811 0.622 0.677
Pd 0.500 0.500 0.000
Pd 0.189 0.811 0.323
Pd 0.500 0.000 0.000
Pd 0.811 0.189 0.677
Pd 0.378 0.189 0.677
Pd 0.189 0.378 0.323
Pd 0.622 0.811 0.323
Pd 0.000 0.500 0.000
Ac 0.667 0.333 0.335
Ac 0.333 0.667 0.665
Ac 0.000 0.000 0.000
Ag 0.000 0.000 0.500
Li 0.333 0.667 0.119
Li 0.667 0.333 0.881

Properties
- uncorrected energy (eV per atom) = -4.8112
- density (g/cm³) = 9.532

No. 5
Li3Ac2AgPd4 after structural relaxation. Source: the Alexandria database, functional PBE.

Cell lengths 4.309, 4.309, 10.978 Å; angles 90.00, 90.00, 90.00 degrees
Positions (direct):
Pd 0.500 0.500 0.000
Pd 0.000 0.500 0.337
Pd 0.500 0.000 0.663
Pd 0.000 0.000 0.000
Li 0.000 0.500 0.109
Li 0.500 0.000 0.891
Li 0.000 0.000 0.500
Ag 0.500 0.500 0.500
Ac 0.500 0.000 0.238
Ac 0.000 0.500 0.762

Properties
- uncorrected energy (eV per atom) = -4.2865
- density (g/cm³) = 8.214

No. 6
Li2Ac3AgPd6 after structural relaxation. Source: the Alexandria database, functional PBE.

Cell lengths 5.904, 5.904, 8.908 Å; angles 90.00, 90.00, 120.00 degrees
Positions (direct):
Pd 0.824 0.648 0.735
Pd 0.352 0.176 0.735
Pd 0.824 0.176 0.735
Pd 0.176 0.824 0.265
Pd 0.648 0.824 0.265
Pd 0.176 0.352 0.265
Ag 0.000 0.000 0.500
Li 0.333 0.667 0.019
Li 0.667 0.333 0.981
Ac 0.333 0.667 0.613
Ac 0.667 0.333 0.387
Ac 0.000 0.000 0.000

Properties
- uncorrected energy (eV per atom) = -4.7783
- density (g/cm³) = 8.902

No. 7
LiAcAgPd2 after structural relaxation. Source: the Alexandria database, functional PBE.

Cell lengths 4.089, 4.089, 7.048 Å; angles 106.86, 106.86, 90.00 degrees
Positions (direct):
Pd 0.394 0.394 0.789
Pd 0.606 0.606 0.211
Ac 0.000 0.000 0.000
Ag 0.250 0.750 0.500
Li 0.750 0.250 0.500

Properties
- uncorrected energy (eV per atom) = -4.3893
- density (g/cm³) = 8.571

No. 8
Li2Ac2AgPd5 after structural relaxation. Source: the Alexandria database, functional PBE.

Cell lengths 3.991, 9.726, 9.726 Å; angles 90.00, 90.00, 90.00 degrees
Positions (direct):
Li 0.000 0.113 0.613
Li 0.000 0.387 0.113
Li 0.000 0.887 0.387
Li 0.000 0.613 0.887
Pd 0.500 0.000 0.500
Pd 0.500 0.711 0.437
Pd 0.500 0.789 0.937
Pd 0.500 0.563 0.711
Pd 0.500 0.289 0.563
Pd 0.500 0.063 0.789
Pd 0.500 0.500 0.000
Pd 0.500 0.211 0.063
Pd 0.500 0.437 0.289
Pd 0.500 0.937 0.211
Ac 0.000 0.316 0.816
Ac 0.000 0.184 0.316
Ac 0.000 0.684 0.184
Ac 0.000 0.816 0.684
Ag 0.000 0.000 0.000
Ag 0.000 0.500 0.500

Properties
- uncorrected energy (eV per atom) = -4.6508
- density (g/cm³) = 9.747

No. 9
LiAcPrAg after structural relaxation. Source: the Alexandria database, functional PBE.

Cell lengths 5.518, 5.518, 5.518 Å; angles 60.00, 60.00, 60.00 degrees
Positions (direct):
Pr 0.500 0.500 0.500
Ag 0.250 0.250 0.250
Li 0.750 0.750 0.750
Ac 0.000 0.000 0.000

Properties
- uncorrected energy (eV per atom) = -3.4613
- density (g/cm³) = 6.748

No. 10
LiAc2AgPt after structural relaxation. Source: the Alexandria database, functional PBE.

Cell lengths 4.533, 8.348, 8.009 Å; angles 110.84, 90.00, 90.00 degrees
Positions (direct):
Pt 0.250 0.884 0.906
Pt 0.750 0.116 0.094
Ag 0.750 0.344 0.666
Ag 0.250 0.656 0.334
Li 0.250 0.562 0.658
Li 0.750 0.438 0.342
Ac 0.750 0.884 0.649
Ac 0.250 0.116 0.351
Ac 0.750 0.717 0.047
Ac 0.250 0.283 0.953

Properties
- uncorrected energy (eV per atom) = -4.3725
- density (g/cm³) = 8.956

No. 11
LiAc2AgRh after structural relaxation. Source: the Alexandria database, functional PBE.

Cell lengths 4.451, 8.049, 8.075 Å; angles 108.83, 90.00, 90.00 degrees
Positions (direct):
Ac 0.250 0.276 0.959
Ac 0.750 0.892 0.651
Ac 0.250 0.108 0.349
Ac 0.750 0.724 0.041
Ag 0.250 0.657 0.335
Ag 0.750 0.343 0.665
Li 0.750 0.441 0.346
Li 0.250 0.559 0.654
Rh 0.750 0.119 0.104
Rh 0.250 0.881 0.896

Properties
- uncorrected energy (eV per atom) = -4.4645
- density (g/cm³) = 8.147

No. 12
LiAcAgRh after structural relaxation. Source: the Alexandria database, functional PBE.

Cell lengths 4.948, 4.948, 4.948 Å; angles 60.00, 60.00, 60.00 degrees
Positions (direct):
Rh 0.750 0.750 0.750
Ag 0.500 0.500 0.500
Li 0.250 0.250 0.250
Ac 0.000 0.000 0.000

Properties
- uncorrected energy (eV per atom) = -4.2531
- density (g/cm³) = 8.621

No. 13
LiAc2AgS4 after structural relaxation. Source: the Alexandria database, functional PBE.

Cell lengths 4.316, 6.655, 7.603 Å; angles 66.23, 90.00, 90.00 degrees
Positions (direct):
Ac 0.000 0.000 0.000
Ac 0.500 0.000 0.500
Ag 0.500 0.500 0.000
S 0.500 0.261 0.736
S 0.000 0.736 0.758
S 0.500 0.739 0.264
S 0.000 0.264 0.242
Li 0.000 0.500 0.500

Properties
- raw formation energy (eV per atom) = -1.531
- density (g/cm³) = 5.792

No. 14
LiAcAgSb after structural relaxation. Source: the Alexandria database, functional PBE.

Cell lengths 5.403, 5.403, 5.403 Å; angles 60.00, 60.00, 60.00 degrees
Positions (direct):
Sb 0.250 0.250 0.250
Ag 0.750 0.750 0.750
Ac 0.500 0.500 0.500
Li 0.000 0.000 0.000

Properties
- raw formation energy (eV per atom) = -0.517
- density (g/cm³) = 6.901

No. 15
LiAcAgSb2 after structural relaxation. Source: the Alexandria database, functional PBE.

Cell lengths 4.504, 4.504, 7.228 Å; angles 108.15, 108.15, 90.00 degrees
Positions (direct):
Ag 0.250 0.750 0.500
Sb 0.380 0.380 0.760
Sb 0.620 0.620 0.240
Ac 0.000 0.000 0.000
Li 0.750 0.250 0.500

Properties
- raw formation energy (eV per atom) = -0.639
- density (g/cm³) = 7.385

No. 16
LiAcAg2Sb2 after structural relaxation. Source: the Alexandria database, functional PBE.

Cell lengths 4.736, 4.736, 7.707 Å; angles 90.00, 90.00, 120.00 degrees
Positions (direct):
Ag 0.333 0.667 0.651
Ag 0.667 0.333 0.349
Ac 0.000 0.000 0.000
Sb 0.667 0.333 0.743
Sb 0.333 0.667 0.257
Li 0.000 0.000 0.500

Properties
- raw formation energy (eV per atom) = -0.605
- density (g/cm³) = 7.691

No. 17
LiAc2ScAg6 after structural relaxation. Source: the Alexandria database, functional PBE.

Cell lengths 7.116, 7.117, 7.120 Å; angles 59.93, 59.93, 89.97 degrees
Positions (direct):
Ag 0.767 0.767 0.000
Ag 0.767 0.767 0.466
Ag 0.233 0.767 0.000
Ag 0.767 0.233 0.000
Ag 0.233 0.233 0.000
Ag 0.233 0.233 0.534
Ac 0.750 0.250 0.500
Ac 0.250 0.750 0.500
Sc 0.500 0.500 0.000
Li 0.000 0.000 0.000

Properties
- uncorrected energy (eV per atom) = -3.3457
- density (g/cm³) = 7.524

No. 18
LiAc2AgSe4 after structural relaxation. Source: the Alexandria database, functional PBE.

Cell lengths 4.476, 6.947, 7.807 Å; angles 67.33, 90.00, 90.00 degrees
Positions (direct):
Ac 0.500 0.000 0.500
Ac 0.000 0.000 0.000
Li 0.000 0.500 0.500
Se 0.000 0.732 0.756
Se 0.000 0.268 0.244
Se 0.500 0.735 0.261
Se 0.500 0.265 0.739
Ag 0.500 0.500 0.000

Properties
- raw formation energy (eV per atom) = -1.450
- density (g/cm³) = 6.557

No. 19
LiAcAg2Sn4 after structural relaxation. Source: the Alexandria database, functional PBE.

Cell lengths 4.868, 4.868, 10.262 Å; angles 76.28, 76.28, 60.00 degrees
Positions (direct):
Ag 0.253 0.253 0.242
Ag 0.747 0.747 0.758
Sn 0.871 0.871 0.388
Sn 0.401 0.401 0.796
Sn 0.599 0.599 0.204
Sn 0.129 0.129 0.612
Li 0.500 0.500 0.500
Ac 0.000 0.000 0.000

Properties
- uncorrected energy (eV per atom) = -3.7268
- density (g/cm³) = 7.579

No. 20
LiAcAgSn after structural relaxation. Source: the Alexandria database, functional PBE.

Cell lengths 5.188, 5.188, 5.188 Å; angles 60.00, 60.00, 60.00 degrees
Positions (direct):
Ac 0.750 0.750 0.750
Sn 0.250 0.250 0.250
Li 0.500 0.500 0.500
Ag 0.000 0.000 0.000

Properties
- uncorrected energy (eV per atom) = -3.5943
- density (g/cm³) = 7.743

No. 21
LiAcAg4Sn2 after structural relaxation. Source: the Alexandria database, functional PBE.

Cell lengths 4.787, 4.787, 9.426 Å; angles 75.29, 75.29, 60.00 degrees
Positions (direct):
Ag 0.404 0.404 0.789
Ag 0.862 0.862 0.413
Ag 0.138 0.138 0.587
Ag 0.596 0.596 0.211
Sn 0.246 0.246 0.263
Sn 0.754 0.754 0.737
Li 0.500 0.500 0.500
Ac 0.000 0.000 0.000

Properties
- uncorrected energy (eV per atom) = -3.4808
- density (g/cm³) = 8.382

No. 22
Li4AcAgSn2 after structural relaxation. Source: the Alexandria database, functional PBE.

Cell lengths 4.767, 4.767, 9.386 Å; angles 75.29, 75.29, 60.00 degrees
Positions (direct):
Li 0.592 0.592 0.224
Li 0.864 0.864 0.407
Li 0.408 0.408 0.776
Li 0.136 0.136 0.593
Ag 0.500 0.500 0.500
Ac 0.000 0.000 0.000
Sn 0.250 0.250 0.250
Sn 0.750 0.750 0.750

Properties
- uncorrected energy (eV per atom) = -3.1929
- density (g/cm³) = 5.642

No. 23
Li4Ac2AgSn3 after structural relaxation. Source: the Alexandria database, functional PBE.

Cell lengths 4.741, 4.741, 10.772 Å; angles 90.00, 90.00, 90.00 degrees
Positions (direct):
Ag 0.500 0.500 0.500
Sn 0.000 0.000 0.500
Sn 0.500 0.000 0.866
Sn 0.000 0.500 0.134
Ac 0.500 0.000 0.244
Ac 0.000 0.500 0.756
Li 0.500 0.500 0.000
Li 0.000 0.500 0.383
Li 0.000 0.000 0.000
Li 0.500 0.000 0.617

Properties
- uncorrected energy (eV per atom) = -3.5603
- density (g/cm³) = 6.485

No. 24
LiAc2Ag4Sn3 after structural relaxation. Source: the Alexandria database, functional PBE.

Cell lengths 4.745, 4.745, 11.244 Å; angles 90.00, 90.00, 90.00 degrees
Positions (direct):
Sn 0.000 0.000 0.500
Sn 0.000 0.500 0.138
Sn 0.500 0.000 0.862
Ag 0.000 0.000 0.000
Ag 0.500 0.500 0.000
Ag 0.000 0.500 0.379
Ag 0.500 0.000 0.621
Li 0.500 0.500 0.500
Ac 0.000 0.500 0.758
Ac 0.500 0.000 0.242

Properties
- uncorrected energy (eV per atom) = -3.7792
- density (g/cm³) = 8.189